No. 1
# CoNi2Ir5, optimized geometry, DFT PBE
# - Density of states at the Fermi level: 1.32 states/eV per atom
# - M_tot: 3.82 μB per formula unit
# - E_form: 0.072 eV per atom
data_CoNi2Ir5
_symmetry_space_group_name_H-M 'I 4/m m m'
_symmetry_Int_Tables_number 139
_symmetry_space_group_name_Hall '-I 4 2'
_cell_length_a 5.346
_cell_length_b 5.346
_cell_length_c 7.501
_cell_angle_alpha 90.00
_cell_angle_beta 90.00
_cell_angle_gamma 90.00
loop_
_atom_site_label
_atom_site_type_symbol
_atom_site_fract_x
_atom_site_fract_y
_atom_site_fract_z
Co1 Co 0.000 0.000 0.000
Ni1 Ni 0.000 0.500 0.000
Ir1 Ir 0.000 0.000 0.500
Ir2 Ir 0.250 0.250 0.250

***

No. 2
# AsIF2, optimized geometry, DFT PBE
# - Density of states at the Fermi level: 0.79 states/eV per atom
# - Formation energy (no corrections): -3.6 eV per formula unit
# - M_tot: 0.15 μB per formula unit
# - Energy above the lowest structure with this stoichiometry: 0 meV/atom
data_AsIF2
_symmetry_space_group_name_H-M 'R -3 m'
_symmetry_Int_Tables_number 166
_symmetry_space_group_name_Hall '-R 3 2"'
_cell_length_a 3.1660
_cell_length_b 3.1660
_cell_length_c 29.3880
_cell_angle_alpha 90.00
_cell_angle_beta 90.00
_cell_angle_gamma 120.00
loop_
_atom_site_label
_atom_site_type_symbol
_atom_site_fract_x
_atom_site_fract_y
_atom_site_fract_z
As1 As 0.0000 0.0000 0.0000
I1 I 0.0000 0.0000 0.5000
F1 F 0.0000 0.0000 0.0631

***

No. 3
# V2TeAs, optimized geometry, DFT PBE
# - Density of states at the Fermi level: 0.63 states/eV per atom
# - Formation energy (no corrections): 0.4 eV per formula unit
# - M_tot: 5.00 μB per formula unit
# - Energy above the lowest structure with this stoichiometry: 217 meV/atom
data_V2TeAs
_symmetry_space_group_name_H-M 'I -4 2 d'
_symmetry_Int_Tables_number 122
_symmetry_space_group_name_Hall 'I -4 2bw'
_cell_length_a 5.939
_cell_length_b 5.939
_cell_length_c 11.931
_cell_angle_alpha 90.00
_cell_angle_beta 90.00
_cell_angle_gamma 90.00
loop_
_atom_site_label
_atom_site_type_symbol
_atom_site_fract_x
_atom_site_fract_y
_atom_site_fract_z
V1 V 0.217 0.250 0.125
Te1 Te 0.000 0.000 0.500
As1 As 0.000 0.000 0.000

***

No. 4
# LaCe2PrSe4, optimized geometry, DFT PBE
# - Density of states at the Fermi level: 1.71 states/eV per atom
# - Formation energy (no corrections): -15.0 eV per formula unit
# - M_tot: 2.00 μB per formula unit
data_LaCe2PrSe4
_symmetry_space_group_name_H-M 'P 1 2/m 1'
_symmetry_Int_Tables_number 10
_symmetry_space_group_name_Hall '-P 2y'
_cell_length_a 7.348
_cell_length_b 4.233
_cell_length_c 7.395
_cell_angle_alpha 90.00
_cell_angle_beta 109.26
_cell_angle_gamma 90.00
loop_
_atom_site_label
_atom_site_type_symbol
_atom_site_fract_x
_atom_site_fract_y
_atom_site_fract_z
La1 La 0.000 0.000 0.000
Ce1 Ce 0.000 0.500 0.500
Ce2 Ce 0.500 0.000 0.500
Pr1 Pr 0.500 0.500 0.000
Se1 Se 0.249 0.000 0.745
Se2 Se 0.253 0.500 0.256

***

No. 5
# CaZrIrS2, optimized geometry, DFT PBE
# - Density of states at the Fermi level: 0.54 states/eV per atom
# - Formation energy (no corrections): -2.7 eV per formula unit
# - M_tot: 0.85 μB per formula unit
data_CaZrIrS2
_symmetry_space_group_name_H-M 'P 4/m m m'
_symmetry_Int_Tables_number 123
_symmetry_space_group_name_Hall '-P 4 2'
_cell_length_a 4.996
_cell_length_b 4.996
_cell_length_c 4.994
_cell_angle_alpha 90.00
_cell_angle_beta 90.00
_cell_angle_gamma 90.00
loop_
_atom_site_label
_atom_site_type_symbol
_atom_site_fract_x
_atom_site_fract_y
_atom_site_fract_z
Ca1 Ca 0.000 0.000 0.000
Zr1 Zr 0.500 0.500 0.500
Ir1 Ir 0.500 0.500 0.000
S1 S 0.000 0.500 0.500

***

No. 6
# RbTa2Ir, optimized geometry, DFT PBE
# - Density of states at the Fermi level: 0.84 states/eV per atom
# - M_tot: 0.00 μB per formula unit
# - Energy above the lowest structure with this stoichiometry: 0 meV/atom
# - E_form: 1.190 eV per atom
data_RbTa2Ir
_symmetry_space_group_name_H-M 'F m -3 m'
_symmetry_Int_Tables_number 225
_symmetry_space_group_name_Hall '-F 4 2 3'
_cell_length_a 6.685
_cell_length_b 6.685
_cell_length_c 6.685
_cell_angle_alpha 90.00
_cell_angle_beta 90.00
_cell_angle_gamma 90.00
loop_
_atom_site_label
_atom_site_type_symbol
_atom_site_fract_x
_atom_site_fract_y
_atom_site_fract_z
Rb1 Rb 0.000 0.000 0.000
Ta1 Ta 0.250 0.250 0.250
Ir1 Ir 0.000 0.000 0.500

***

No. 7
# AlC2S, optimized geometry, DFT PBE
# - Density of states at the Fermi level: 0.50 states/eV per atom
# - Formation energy (no corrections): 3.7 eV per formula unit
# - M_tot: 0.00 μB per formula unit
# - Energy above the lowest structure with this stoichiometry: 0 meV/atom
data_AlC2S
_symmetry_space_group_name_H-M 'I -4 2 d'
_symmetry_Int_Tables_number 122
_symmetry_space_group_name_Hall 'I -4 2bw'
_cell_length_a 4.481
_cell_length_b 4.481
_cell_length_c 8.612
_cell_angle_alpha 90.00
_cell_angle_beta 90.00
_cell_angle_gamma 90.00
loop_
_atom_site_label
_atom_site_type_symbol
_atom_site_fract_x
_atom_site_fract_y
_atom_site_fract_z
Al1 Al 0.000 0.000 0.000
C1 C 0.213 0.250 0.625
S1 S 0.000 0.000 0.500

***

No. 8
# PmPaCdSi, optimized geometry, DFT PBE
# - Density of states at the Fermi level: 2.06 states/eV per atom
# - Formation energy (no corrections): -0.2 eV per formula unit
# - M_tot: 1.57 μB per formula unit
data_PmPaCdSi
_symmetry_space_group_name_H-M 'F -4 3 m'
_symmetry_Int_Tables_number 216
_symmetry_space_group_name_Hall 'F -4 2 3'
_cell_length_a 7.318
_cell_length_b 7.318
_cell_length_c 7.318
_cell_angle_alpha 90.00
_cell_angle_beta 90.00
_cell_angle_gamma 90.00
loop_
_atom_site_label
_atom_site_type_symbol
_atom_site_fract_x
_atom_site_fract_y
_atom_site_fract_z
Pm1 Pm 0.000 0.000 0.000
Pa1 Pa 0.000 0.000 0.500
Cd1 Cd 0.250 0.250 0.750
Si1 Si 0.250 0.250 0.250